Computed, not measured: a crystal of Mg3Al18Mo2 relaxed with PBEsol at the meta-GGA SCAN level of DFT.

## Properties
Total magnetic moment   0.00 μB/f.u.
VASP energy   -228.2 eV/f.u.
ΔE_f   -3.94 eV per formula unit

Unit cell a=10.312 b=10.312 c=10.312 alpha=60.00 beta=60.00 gamma=60.00
Sites, in units of the cell vectors:
Mg: 0.000 0.000 0.000
Mg: 0.000 0.000 0.500
Mg: 0.000 0.500 0.000
Mg: 0.125 0.125 0.125
Mg: 0.500 0.000 0.000
Mg: 0.875 0.875 0.875
Al: 0.058 0.323 0.323
Al: 0.058 0.323 0.795
Al: 0.058 0.795 0.323
Al: 0.205 0.677 0.677
Al: 0.205 0.677 0.942
Al: 0.205 0.942 0.677
Al: 0.233 0.233 0.517
Al: 0.233 0.517 0.233
Al: 0.233 0.517 0.517
Al: 0.323 0.058 0.323
Al: 0.323 0.058 0.795
Al: 0.323 0.323 0.058
Al: 0.323 0.323 0.795
Al: 0.323 0.795 0.058
Al: 0.323 0.795 0.323
Al: 0.483 0.483 0.767
Al: 0.483 0.767 0.483
Al: 0.483 0.767 0.767
Al: 0.517 0.233 0.233
Al: 0.517 0.233 0.517
Al: 0.517 0.517 0.233
Al: 0.677 0.205 0.677
Al: 0.677 0.205 0.942
Al: 0.677 0.677 0.205
Al: 0.677 0.677 0.942
Al: 0.677 0.942 0.205
Al: 0.677 0.942 0.677
Al: 0.767 0.483 0.483
Al: 0.767 0.483 0.767
Al: 0.767 0.767 0.483
Al: 0.795 0.058 0.323
Al: 0.795 0.323 0.058
Al: 0.795 0.323 0.323
Al: 0.942 0.205 0.677
Al: 0.942 0.677 0.205
Al: 0.942 0.677 0.677
Mo: 0.000 0.500 0.500
Mo: 0.500 0.000 0.500
Mo: 0.500 0.500 0.000
Mo: 0.500 0.500 0.500



Computed, not measured: a crystal of LaZrSc2 relaxed with PBEsol at the meta-GGA SCAN level of DFT.

## Properties
Distance to the lowest polymorph of the same formula   129.8 meV/atom
Total magnetic moment   1.10 μB/f.u.
VASP energy   -101.5 eV/f.u.
ΔE_f   0.80 eV per formula unit

Unit cell a=5.214 b=5.214 c=5.214 alpha=60.00 beta=60.00 gamma=60.00
Sites, in units of the cell vectors:
La: 0.000 0.000 0.000
Zr: 0.250 0.250 0.250
Sc: 0.500 0.500 0.500
Sc: 0.750 0.750 0.750



Computed, not measured: a crystal of MgScHg relaxed with PBEsol at the meta-GGA SCAN level of DFT.

## Properties
Total magnetic moment   0.00 μB/f.u.
VASP energy   -87.4 eV/f.u.
ΔE_f   -0.03 eV per formula unit

Unit cell a=4.616 b=4.616 c=4.616 alpha=60.00 beta=60.00 gamma=60.00
Sites, in units of the cell vectors:
Mg: 0.000 0.000 0.000
Sc: 0.750 0.750 0.750
Hg: 0.250 0.250 0.250



Computed, not measured: a crystal of Mg5Rh4 relaxed with PBEsol at the meta-GGA SCAN level of DFT.

## Properties
Total magnetic moment   0.00 μB/f.u.
VASP energy   -163.9 eV/f.u.
ΔE_f   -3.96 eV per formula unit

Unit cell a=7.701 b=7.701 c=5.389 alpha=90.00 beta=90.00 gamma=120.00
Sites, in units of the cell vectors:
Mg: 0.000 0.295 0.250
Mg: 0.000 0.705 0.750
Mg: 0.295 0.000 0.250
Mg: 0.295 0.295 0.750
Mg: 0.333 0.667 0.000
Mg: 0.333 0.667 0.500
Mg: 0.667 0.333 0.000
Mg: 0.667 0.333 0.500
Mg: 0.705 0.000 0.750
Mg: 0.705 0.705 0.250
Rh: 0.000 0.000 0.000
Rh: 0.000 0.000 0.500
Rh: 0.000 0.365 0.750
Rh: 0.000 0.635 0.250
Rh: 0.365 0.000 0.750
Rh: 0.365 0.365 0.250
Rh: 0.635 0.000 0.250
Rh: 0.635 0.635 0.750



Computed, not measured: a crystal of MgPN2 relaxed with PBEsol at the meta-GGA SCAN level of DFT.

## Properties
Total magnetic moment   0.00 μB/f.u.
VASP energy   -35.4 eV/f.u.
Formation energy without anion corrections   -368 meV per atom

Unit cell a=5.143 b=5.143 c=5.143 alpha=127.48 beta=127.48 gamma=77.47
Sites, in units of the cell vectors:
Mg: 0.000 0.000 0.000
Mg: 0.750 0.250 0.500
P: 0.250 0.750 0.500
P: 0.500 0.500 0.000
N: 0.198 0.125 0.573
N: 0.375 0.802 0.927
N: 0.552 0.625 0.427
N: 0.875 0.448 0.073



Computed, not measured: a crystal of FeSbPb3 relaxed with PBEsol at the meta-GGA SCAN level of DFT.

## Properties
Distance to the lowest polymorph of the same formula   0.0 meV/atom
Total magnetic moment   0.52 μB/f.u.
VASP energy   -280.9 eV/f.u.
Formation energy without anion corrections   365 meV per atom

Unit cell a=5.052 b=5.052 c=5.052 alpha=90.00 beta=90.00 gamma=90.00
Sites, in units of the cell vectors:
Fe: 0.000 0.000 0.000
Sb: 0.500 0.500 0.500
Pb: 0.000 0.000 0.500
Pb: 0.000 0.500 0.000
Pb: 0.500 0.000 0.000



Computed, not measured: a crystal of CsLaCd2 relaxed with PBEsol at the meta-GGA SCAN level of DFT.

## Properties
Total magnetic moment   0.00 μB/f.u.
VASP energy   -141.4 eV/f.u.
ΔE_f   0.37 eV per formula unit

Unit cell a=5.736 b=5.736 c=5.736 alpha=60.00 beta=60.00 gamma=60.00
Sites, in units of the cell vectors:
Cs: 0.000 0.000 0.000
La: 0.500 0.500 0.500
Cd: 0.250 0.250 0.250
Cd: 0.750 0.750 0.750



Computed, not measured: a crystal of LiZnIr2 relaxed with PBEsol at the meta-GGA SCAN level of DFT.

## Properties
Total magnetic moment   0.00 μB/f.u.
VASP energy   -159.2 eV/f.u.
ΔE_f   -1.05 eV per formula unit

Unit cell a=4.483 b=4.483 c=4.685 alpha=99.65 beta=99.65 gamma=35.10
Sites, in units of the cell vectors:
Li: 0.000 0.000 0.000
Zn: 0.500 0.500 0.500
Ir: 0.244 0.244 0.757
Ir: 0.756 0.756 0.243



Computed, not measured: a crystal of SrYTe relaxed with PBEsol at the meta-GGA SCAN level of DFT.

## Properties
Total magnetic moment   1.57 μB/f.u.
VASP energy   -89.2 eV/f.u.
Formation energy without anion corrections   -624 meV per atom

Unit cell a=5.190 b=5.190 c=5.190 alpha=60.00 beta=60.00 gamma=60.00
Sites, in units of the cell vectors:
Sr: 0.000 0.000 0.000
Y: 0.500 0.500 0.500
Te: 0.750 0.750 0.750



Computed, not measured: a crystal of InAgAu relaxed with PBEsol at the meta-GGA SCAN level of DFT.

## Properties
Distance to the lowest polymorph of the same formula   2.4 meV/atom
Total magnetic moment   0.00 μB/f.u.
VASP energy   -134.3 eV/f.u.
ΔE_f   -0.39 eV per formula unit

Unit cell a=5.023 b=5.023 c=5.023 alpha=138.37 beta=138.37 gamma=60.33
Sites, in units of the cell vectors:
In: 0.000 0.000 0.000
Ag: 0.670 0.670 0.000
Au: 0.333 0.333 0.000



Computed, not measured: a crystal of Li2ZnPb relaxed with PBEsol at the meta-GGA SCAN level of DFT.

## Properties
Total magnetic moment   0.00 μB/f.u.
VASP energy   -95.1 eV/f.u.
ΔE_f   -1.03 eV per formula unit

Unit cell a=3.312 b=3.312 c=6.543 alpha=90.00 beta=90.00 gamma=90.00
Sites, in units of the cell vectors:
Li: 0.000 0.000 0.218
Li: 0.000 0.000 0.782
Zn: 0.500 0.500 0.000
Pb: 0.500 0.500 0.500



Computed, not measured: a crystal of LaAs2W relaxed with PBEsol at the meta-GGA SCAN level of DFT.

## Properties
Total magnetic moment   0.00 μB/f.u.
VASP energy   -154.5 eV/f.u.
ΔE_f   -1.34 eV per formula unit

Unit cell a=4.804 b=5.373 c=5.373 alpha=39.39 beta=90.00 gamma=90.00
Sites, in units of the cell vectors:
La: 0.000 0.000 0.000
As: 0.000 0.279 0.279
As: 0.500 0.585 0.585
W: 0.500 0.268 0.268



| no. | DOS(E_F) (states/eV per cell) |
| --- | --- |
| 1 | 15.6 |
| 2 | 5.4 |
| 3 | 3.6 |
| 4 | 4.7 |
| 5 | 3.2 |
| 6 | 6.1 |
| 7 | 3.4 |
| 8 | 2.4 |
| 9 | 3.3 |
| 10 | 0.8 |
| 11 | 1.2 |
| 12 | 2.1 |